Record 1
# HoAl2Zn10 PBE relaxed
data_HoAl2Zn10
_chemical_formula_sum 'Ho1 Al2 Zn10'
_cell_length_a 5.385
_cell_length_b 6.765
_cell_length_c 6.780
_cell_angle_alpha 81.22
_cell_angle_beta 66.80
_cell_angle_gamma 67.13
_space_group_name_H-M_alt 'P -1'
_space_group_IT_number 2
loop_
_space_group_symop_operation_xyz
'x,y,z'
'-x,-y,-z'
loop_
_atom_site_label
_atom_site_fract_x
_atom_site_fract_y
_atom_site_fract_z
_atom_site_occupancy
Ho1 0.000 0.000 0.000 1
Al1 0.000 0.000 0.500 1
Al2 0.500 0.000 0.500 1
Zn1 0.000 0.500 0.000 1
Zn2 0.001 0.354 0.647 1
Zn3 0.284 0.217 0.212 1
Zn4 0.354 0.645 0.647 1
Zn5 0.497 0.217 0.787 1
Zn6 0.500 0.500 0.000 1
# Formation enthalpy at 0 K = -1.9 eV per formula unit
# Calculated volume = 16.09 Å³/atom
# E = -26.70 eV/cell
# DOS at the Fermi energy = 3.92 states/eV per cell
# M_tot = 0.0 μB/f.u.

Record 2
# HoAl3Zn3 PBE relaxed
data_HoAl3Zn3
_chemical_formula_sum 'Ho6 Al18 Zn18'
_cell_length_a 7.7532
_cell_length_b 7.7532
_cell_length_c 15.6476
_cell_angle_alpha 90.00
_cell_angle_beta 90.00
_cell_angle_gamma 120.00
_space_group_name_H-M_alt 'R -3'
_space_group_IT_number 148
_space_group_name_Hall '-R 3'
loop_
_atom_site_label
_atom_site_fract_x
_atom_site_fract_y
_atom_site_fract_z
_atom_site_occupancy
Ho1 0.0000 0.0000 0.1787 1
Al1 0.0003 0.3264 0.9584 1
Zn1 0.0040 0.7317 0.5485 1
# Formation enthalpy at 0 K = -0.3 eV per formula unit
# Calculated volume = 19.39 Å³/atom
# E = -119.27 eV/cell
# DOS at the Fermi energy = 18.17 states/eV per cell
# M_tot = 0.0 μB/f.u.

- Among the records above, which one has the highest formation enthalpy at 0 K?
  HoAl3Zn3

- Look up the E of the first one.
  -26.70 eV/cell